No. 1
This record from Alexandria via LeMat-Bulk describes a geometry-optimized LiPm2PaTe4 structure. The functional is GGA-PBE.

Summary:
Space-group type = P2/m, No. 10
DFT total energy = -5.333 eV/atom
Calculated density = 7.20 g cm⁻³

```
8
Lattice="4.339 0.000 0.000 0.000 7.706 0.204 0.000 -2.629 7.089" Properties=species:S:1:pos:R:3 pbc="T T T"
Li 0.000 0.000 0.000
Pm 2.169 -1.315 3.544
Pm 0.000 2.538 3.646
Pa 2.169 3.853 0.102
Te 2.169 1.224 1.708
Te 2.169 3.852 5.584
Te 0.000 -0.113 5.448
Te 0.000 5.190 1.844
```

---

No. 2
This record from Alexandria via LeMat-Bulk describes a geometry-optimized LiPmPaTe3 structure. The functional is GGA-PBE.

Summary:
Space-group type = P2_1/m, No. 11
DFT total energy = -5.264 eV/atom
Calculated density = 7.27 g cm⁻³

```
12
Lattice="-0.948 1.813 -3.639 -8.016 2.779 3.473 6.342 6.919 1.794" Properties=species:S:1:pos:R:3 pbc="T T T"
Li 2.833 4.795 0.453
Li -5.455 6.716 1.175
Pm -2.433 8.911 1.481
Pm -0.189 2.601 0.147
Pa -4.539 3.163 1.561
Pa 1.917 8.349 0.067
Te -3.313 5.984 2.647
Te -7.171 4.686 0.611
Te -2.832 3.978 -0.872
Te 0.690 5.527 -1.018
Te 0.210 7.533 2.500
Te 4.549 6.826 1.017
```

---

Question: What is the formula in the first record?
Answer: LiPm2PaTe4

---

Question: The highest DFT total energy belongs to which entry?
Answer: LiPmPaTe3

---

Please write out number 2 again, unchanged.
This record from Alexandria via LeMat-Bulk describes a geometry-optimized LiPmPaTe3 structure. The functional is GGA-PBE.

Summary:
Space-group type = P2_1/m, No. 11
DFT total energy = -5.264 eV/atom
Calculated density = 7.27 g cm⁻³

```
12
Lattice="-0.948 1.813 -3.639 -8.016 2.779 3.473 6.342 6.919 1.794" Properties=species:S:1:pos:R:3 pbc="T T T"
Li 2.833 4.795 0.453
Li -5.455 6.716 1.175
Pm -2.433 8.911 1.481
Pm -0.189 2.601 0.147
Pa -4.539 3.163 1.561
Pa 1.917 8.349 0.067
Te -3.313 5.984 2.647
Te -7.171 4.686 0.611
Te -2.832 3.978 -0.872
Te 0.690 5.527 -1.018
Te 0.210 7.533 2.500
Te 4.549 6.826 1.017
```